# 1
# PBE-GGA CaVGe, optimized geometry
data_CaVGe
_cell_length_a 3.5611
_cell_length_b 6.0579
_cell_length_c 12.5525
_cell_angle_alpha 90.00
_cell_angle_beta 90.00
_cell_angle_gamma 90.00
_symmetry_space_group_name_H-M 'I m m m'
_symmetry_Int_Tables_number 71
_symmetry_space_group_name_Hall '-I 2 2'
loop_
_atom_site_label
_atom_site_type_symbol
_atom_site_fract_x
_atom_site_fract_y
_atom_site_fract_z
_atom_site_occupancy
Ca1 Ca 0.0000 0.0000 0.1719 1
V1 V 0.0000 0.1578 0.5000 1
Ge1 Ge 0.0000 0.5000 0.1371 1
# Density of states at the Fermi level   9.11 states/eV/cell
# Spin magnetization   0.0 μB/f.u.
# Volume   271 Å³/cell
# Total energy   -0.19724 Ha/atom
# Crystal system   orthorhombic
# Theoretical density   4.01 Mg/m³


# 2
# PBE-GGA CaVGe, optimized geometry
data_CaVGe
_cell_length_a 9.4030
_cell_length_b 6.2340
_cell_length_c 4.4014
_cell_angle_alpha 90.00
_cell_angle_beta 102.14
_cell_angle_gamma 90.00
_symmetry_space_group_name_H-M 'C 1 m 1'
_symmetry_Int_Tables_number 8
_symmetry_space_group_name_Hall 'C -2y'
loop_
_atom_site_label
_atom_site_type_symbol
_atom_site_fract_x
_atom_site_fract_y
_atom_site_fract_z
_atom_site_occupancy
Ca1 Ca 0.0000 0.0000 0.0000 1
Ca2 Ca 0.1817 0.5000 0.1433 1
V1 V 0.2101 0.0000 0.5596 1
V2 V 0.3527 0.0000 0.9520 1
Ge1 Ge 0.4553 0.2082 0.4910 1
# Density of states at the Fermi level   7.44 states/eV/cell
# Spin magnetization   0.0 μB/f.u.
# Volume   252 Å³/cell
# Total energy   -0.19435 Ha/atom
# Crystal system   monoclinic
# Theoretical density   4.31 Mg/m³


# 3
# PBE-GGA CaV2Ge2, optimized geometry
data_CaV2Ge2
_cell_length_a 4.8193
_cell_length_b 4.8193
_cell_length_c 7.9911
_cell_angle_alpha 90.00
_cell_angle_beta 90.00
_cell_angle_gamma 90.00
_symmetry_space_group_name_H-M 'I 4/m m m'
_symmetry_Int_Tables_number 139
_symmetry_space_group_name_Hall '-I 4 2'
loop_
_atom_site_label
_atom_site_type_symbol
_atom_site_fract_x
_atom_site_fract_y
_atom_site_fract_z
_atom_site_occupancy
Ca1 Ca 0.0000 0.0000 0.0000 1
V1 V 0.0000 0.0000 0.3646 1
Ge1 Ge 0.0000 0.5000 0.2500 1
# E above lowest polymorph   345 meV/atom
# Density of states at the Fermi level   3.88 states/eV/cell
# Spin magnetization   0.0 μB/f.u.
# Volume   186 Å³/cell
# Crystal system   tetragonal
# Theoretical density   5.14 Mg/m³


# 4
# PBE-GGA CaV2Ge2, optimized geometry
data_CaV2Ge2
_cell_length_a 3.9484
_cell_length_b 3.9484
_cell_length_c 11.5903
_cell_angle_alpha 90.00
_cell_angle_beta 90.00
_cell_angle_gamma 90.00
_symmetry_space_group_name_H-M 'I 4/m m m'
_symmetry_Int_Tables_number 139
_symmetry_space_group_name_Hall '-I 4 2'
loop_
_atom_site_label
_atom_site_type_symbol
_atom_site_fract_x
_atom_site_fract_y
_atom_site_fract_z
_atom_site_occupancy
Ca1 Ca 0.0000 0.0000 0.0000 1
V1 V 0.0000 0.5000 0.2500 1
Ge1 Ge 0.0000 0.0000 0.3866 1
# E above lowest polymorph   0 meV/atom
# Density of states at the Fermi level   8.83 states/eV/cell
# Spin magnetization   0.0 μB/f.u.
# Volume   181 Å³/cell
# Crystal system   tetragonal
# Theoretical density   5.28 Mg/m³